Record 1
# Na2Hg12Pb5 | Alexandria via LeMat-Bulk | GGA-PBE | relaxed
# - total energy (eV per atom) = -1.3531
# - calculated density (Mg/m³) = 10.85
# - energy of formation from the pure elements (eV/atom) = -0.048
data_Na2Hg12Pb5
_cell_length_a 17.2718
_cell_length_b 11.3127
_cell_length_c 5.7528
_cell_angle_alpha 90.00
_cell_angle_beta 108.10
_cell_angle_gamma 90.00
_space_group_name_H-M_alt 'C 1 2/m 1'
_space_group_IT_number 12
loop_
_space_group_symop_operation_xyz
'x,y,z'
'-x,-y,-z'
'-x,y,-z'
'x,-y,z'
'x+1/2,y+1/2,z'
'-x+1/2,-y+1/2,-z'
'-x+1/2,y+1/2,-z'
'x+1/2,-y+1/2,z'
loop_
_atom_site_label
_atom_site_type_symbol
_atom_site_fract_x
_atom_site_fract_y
_atom_site_fract_z
Na1 Na 0.0000 0.2409 0.0000
Hg1 Hg 0.0885 0.5000 0.1181
Hg2 Hg 0.0963 0.2585 0.5937
Hg3 Hg 0.1053 0.0000 0.1020
Hg4 Hg 0.1933 0.2491 0.1883
Pb1 Pb 0.0000 0.0000 0.5000
Pb2 Pb 0.1867 0.5000 0.7017
Pb3 Pb 0.2085 0.0000 0.6987

---

Record 2
# YErAlFe | Alexandria via LeMat-Bulk | GGA-PBE | relaxed
# - total energy (eV per atom) = -5.8943
# - calculated density (Mg/m³) = 6.52
# - energy of formation from the pure elements (eV/atom) = -0.086
data_YErAlFe
_cell_length_a 7.0154
_cell_length_b 7.0154
_cell_length_c 7.0154
_cell_angle_alpha 90.00
_cell_angle_beta 90.00
_cell_angle_gamma 90.00
_space_group_name_H-M_alt 'F -4 3 m'
_space_group_IT_number 216
_space_group_name_Hall 'F -4 2 3'
loop_
_atom_site_label
_atom_site_type_symbol
_atom_site_fract_x
_atom_site_fract_y
_atom_site_fract_z
Y1 Y 0.0000 0.0000 0.0000
Er1 Er 0.0000 0.0000 0.5000
Al1 Al 0.2500 0.2500 0.2500
Fe1 Fe 0.2500 0.2500 0.7500

---

Record 3
# CoSbSe | Alexandria via LeMat-Bulk | GGA-PBE | relaxed
# - total energy (eV per atom) = -5.1024
# - calculated density (Mg/m³) = 7.55
# - energy relative to the elements, uncorrected (kJ/mol of formula units) = -57
data_CoSbSe
_cell_length_a 10.1752
_cell_length_b 12.1271
_cell_length_c 7.4008
_cell_angle_alpha 90.00
_cell_angle_beta 90.00
_cell_angle_gamma 90.00
_space_group_name_H-M_alt 'F d d 2'
_space_group_IT_number 43
_space_group_name_Hall 'F 2 -2d'
loop_
_atom_site_label
_atom_site_type_symbol
_atom_site_fract_x
_atom_site_fract_y
_atom_site_fract_z
Co1 Co 0.0101 0.2369 0.0000
Sb1 Sb 0.1063 0.0766 0.4991
Se1 Se 0.1189 0.0654 0.0009

---

Record 4
# YNbB2W | Alexandria via LeMat-Bulk | GGA-PBE | relaxed
# - total energy (eV per atom) = -5.8612
# - calculated density (Mg/m³) = 6.95
# - energy of formation from the pure elements (eV/atom) = 2.707
data_YNbB2W
_cell_length_a 4.2709
_cell_length_b 4.2709
_cell_length_c 5.0720
_cell_angle_alpha 90.00
_cell_angle_beta 90.00
_cell_angle_gamma 90.00
_space_group_name_H-M_alt 'P 4/m m m'
_space_group_IT_number 123
_space_group_name_Hall '-P 4 2'
loop_
_atom_site_label
_atom_site_type_symbol
_atom_site_fract_x
_atom_site_fract_y
_atom_site_fract_z
Y1 Y 0.0000 0.0000 0.0000
Nb1 Nb 0.0000 0.0000 0.5000
B1 B 0.0000 0.5000 0.0000
W1 W 0.5000 0.5000 0.5000

---

Record 5
# Na4Li2Tl2Hg | Alexandria via LeMat-Bulk | GGA-PBE | relaxed
# - total energy (eV per atom) = -1.6623
# - calculated density (Mg/m³) = 4.66
# - energy of formation from the pure elements (eV/atom) = -0.091
data_Na4Li2Tl2Hg
_cell_length_a 5.4408
_cell_length_b 7.5993
_cell_length_c 7.6410
_cell_angle_alpha 118.15
_cell_angle_beta 90.25
_cell_angle_gamma 110.79
_space_group_name_H-M_alt 'P -1'
_space_group_IT_number 2
loop_
_space_group_symop_operation_xyz
'x,y,z'
'-x,-y,-z'
loop_
_atom_site_label
_atom_site_type_symbol
_atom_site_fract_x
_atom_site_fract_y
_atom_site_fract_z
Na1 Na 0.0527 0.1052 0.2636
Na2 Na 0.2339 0.4700 0.8211
Li1 Li 0.4393 0.8776 0.2899
Tl1 Tl 0.3172 0.6318 0.4852
Hg1 Hg 0.5000 0.0000 0.0000

---

Record 6
# CrNi2H3 | Alexandria via LeMat-Bulk | GGA-PBE | relaxed
# - total energy (eV per atom) = -5.2055
# - calculated density (Mg/m³) = 7.22
# - polymorph energy (0 for the lowest one) (meV per atom) = 0.0
data_CrNi2H3
_cell_length_a 5.3644
_cell_length_b 3.7050
_cell_length_c 7.9816
_cell_angle_alpha 90.00
_cell_angle_beta 90.00
_cell_angle_gamma 90.00
_space_group_name_H-M_alt 'P n m a'
_space_group_IT_number 62
loop_
_space_group_symop_operation_xyz
'x,y,z'
'-x,-y,-z'
'-x+1/2,-y,z+1/2'
'x+1/2,y,-z+1/2'
'x+1/2,-y+1/2,-z+1/2'
'-x+1/2,y+1/2,z+1/2'
'-x,y+1/2,-z'
'x,-y+1/2,z'
loop_
_atom_site_label
_atom_site_type_symbol
_atom_site_fract_x
_atom_site_fract_y
_atom_site_fract_z
Cr1 Cr 0.1028 0.2500 0.0676
Ni1 Ni 0.1184 0.2500 0.4140
Ni2 Ni 0.1249 0.2500 0.7505
H1 H 0.1137 0.7500 0.4173
H2 H 0.1260 0.7500 0.7415
H3 H 0.1388 0.7500 0.0866

---

Record 7
# Tb2YHoEr | Alexandria via LeMat-Bulk | GGA-PBE | relaxed
# - total energy (eV per atom) = -4.5607
# - calculated density (Mg/m³) = 7.17
# - energy of formation from the pure elements (eV/atom) = 0.412
data_Tb2YHoEr
_cell_length_a 8.3295
_cell_length_b 11.4173
_cell_length_c 7.1935
_cell_angle_alpha 90.00
_cell_angle_beta 90.00
_cell_angle_gamma 90.00
_space_group_name_H-M_alt 'C m c m'
_space_group_IT_number 63
_space_group_name_Hall '-C 2c 2'
loop_
_atom_site_label
_atom_site_type_symbol
_atom_site_fract_x
_atom_site_fract_y
_atom_site_fract_z
Tb1 Tb 0.1919 0.0000 0.0000
Y1 Y 0.0000 0.2339 0.2500
Ho1 Ho 0.0000 0.4844 0.7500
Er1 Er 0.0000 0.2147 0.7500

---

Record 8
# La4CoSI2 | Alexandria via LeMat-Bulk | GGA-PBE | relaxed
# - total energy (eV per atom) = -5.3851
# - calculated density (Mg/m³) = 6.09
# - energy relative to the elements, uncorrected (kJ/mol of formula units) = -872
data_La4CoSI2
_cell_length_a 7.5703
_cell_length_b 4.0771
_cell_length_c 8.3305
_cell_angle_alpha 90.00
_cell_angle_beta 107.16
_cell_angle_gamma 90.00
_space_group_name_H-M_alt 'P 1 2/m 1'
_space_group_IT_number 10
loop_
_space_group_symop_operation_xyz
'x,y,z'
'-x,-y,-z'
'-x,y,-z'
'x,-y,z'
loop_
_atom_site_label
_atom_site_type_symbol
_atom_site_fract_x
_atom_site_fract_y
_atom_site_fract_z
La1 La 0.2046 0.0000 0.1826
La2 La 0.2695 0.5000 0.8024
Co1 Co 0.0000 0.5000 0.0000
S1 S 0.5000 0.0000 0.0000
I1 I 0.0000 0.0000 0.5000
I2 I 0.5000 0.5000 0.5000